No. 1
Below is a PBEsol-optimized structure of CsCrAs3, with properties calculated at the SCAN level.

Structure (POSCAR):
```
CsCrAs3
1.0
5.5324 0.0000 0.0000
0.0000 5.5324 0.0000
0.0000 0.0000 5.5324
Cs Cr As
1 1 3
direct
0.0000 0.0000 0.0000
0.5000 0.5000 0.5000
0.0000 0.0000 0.5000
0.0000 0.5000 0.0000
0.5000 0.0000 0.0000
```

Formation energy   45.27 kcal/mol of atoms
DOS at the Fermi energy   2.834 states/eV/f.u.
Uncorrected energy   -21.390 eV/atom

No. 2
Below is a PBEsol-optimized structure of CrCu2AsO, with properties calculated at the SCAN level.

Structure (POSCAR):
```
CrCu2AsO
1.0
4.3179 0.0000 0.0000
0.0000 4.3179 0.0000
0.0000 0.0000 4.7814
Cr Cu As O
1 2 1 1
direct
0.0000 0.0000 0.0000
0.0000 0.5000 0.5000
0.5000 0.0000 0.5000
0.0000 0.0000 0.5000
0.5000 0.5000 0.0000
```

DOS at the Fermi energy   3.593 states/eV/f.u.
Uncorrected energy   -14.414 eV/atom

No. 3
Below is a PBEsol-optimized structure of CrCuAsO2, with properties calculated at the SCAN level.

Structure (POSCAR):
```
CrCuAsO2
1.0
3.6164 0.0000 0.0000
0.0000 3.6164 0.0000
0.0000 0.0000 4.9922
Cr Cu As O
1 1 1 2
direct
0.0000 0.0000 0.0000
0.0000 0.0000 0.5000
0.5000 0.5000 0.0000
0.0000 0.5000 0.5000
0.5000 0.0000 0.5000
```

DOS at the Fermi energy   3.303 states/eV/f.u.
Uncorrected energy   -13.143 eV/atom

No. 4
Below is a PBEsol-optimized structure of Cr2AsF, with properties calculated at the SCAN level.

Structure (POSCAR):
```
Cr2AsF
1.0
6.1970 0.0000 0.0000
0.0000 6.1970 0.0000
0.0000 0.0000 6.3463
Cr As F
8 4 4
direct
0.2134 0.7500 0.1250
0.2500 0.2134 0.8750
0.2500 0.2866 0.3750
0.2866 0.7500 0.6250
0.7134 0.2500 0.6250
0.7500 0.7134 0.3750
0.7500 0.7866 0.8750
0.7866 0.2500 0.1250
0.0000 0.0000 0.5000
0.0000 0.5000 0.7500
0.5000 0.0000 0.2500
0.5000 0.5000 0.0000
0.0000 0.0000 0.0000
0.0000 0.5000 0.2500
0.5000 0.0000 0.7500
0.5000 0.5000 0.5000
```

DOS at the Fermi energy   0.258 states/eV/f.u.
Uncorrected energy   -16.008 eV/atom

No. 5
Below is a PBEsol-optimized structure of CrMo2AsF, with properties calculated at the SCAN level.

Structure (POSCAR):
```
CrMo2AsF
1.0
4.6325 0.0000 0.0000
0.0000 4.6325 0.0000
0.0000 0.0000 4.6489
Cr Mo As F
1 2 1 1
direct
0.0000 0.0000 0.0000
0.0000 0.5000 0.5000
0.5000 0.0000 0.5000
0.0000 0.0000 0.5000
0.5000 0.5000 0.0000
```

DOS at the Fermi energy   2.633 states/eV/f.u.
Uncorrected energy   -21.364 eV/atom

No. 6
Below is a PBEsol-optimized structure of CrAsN2F, with properties calculated at the SCAN level.

Structure (POSCAR):
```
CrAsN2F
1.0
3.8118 0.0000 0.0000
0.0000 3.8118 0.0000
0.0000 0.0000 3.7115
Cr As N F
1 1 2 1
direct
0.0000 0.0000 0.0000
0.5000 0.5000 0.5000
0.0000 0.5000 0.0000
0.5000 0.0000 0.0000
0.0000 0.0000 0.5000
```

DOS at the Fermi energy   1.889 states/eV/f.u.
Uncorrected energy   -12.186 eV/atom